Compound: Li2MnFeB2O6
Source: Alexandria via LeMat-Bulk
Functional: GGA+U
Structure: relaxed

```
Li2MnFeB2O6
1.0
-1.043 0.599 -5.079
-3.597 -2.143 3.215
-7.106 18.454 3.308
Li Mn Fe B O
8 4 4 8 24
direct
0.019 0.674 0.331
0.978 0.656 0.084
0.018 0.674 0.831
0.984 0.657 0.581
0.007 0.343 0.207
0.993 0.338 0.458
0.009 0.346 0.705
0.989 0.339 0.958
0.661 0.671 0.441
0.659 0.672 0.941
0.331 0.323 0.067
0.670 0.994 0.815
0.334 0.326 0.566
0.667 0.994 0.317
0.338 0.009 0.192
0.340 0.011 0.691
0.660 0.000 0.065
0.664 0.001 0.564
0.662 0.666 0.190
0.663 0.665 0.687
0.337 0.337 0.313
0.337 0.338 0.812
0.341 0.006 0.439
0.338 0.004 0.938
0.671 0.924 0.212
0.672 0.923 0.709
0.676 0.751 0.047
0.390 0.967 0.088
0.673 0.746 0.546
0.397 0.978 0.586
0.390 0.418 0.172
0.088 0.735 0.432
0.389 0.417 0.669
0.085 0.734 0.931
0.918 0.652 0.184
0.918 0.651 0.681
0.084 0.355 0.308
0.088 0.362 0.805
0.905 0.275 0.058
0.603 0.581 0.335
0.915 0.272 0.558
0.604 0.576 0.835
0.616 0.038 0.420
0.614 0.036 0.920
0.327 0.251 0.462
0.326 0.249 0.962
0.330 0.073 0.296
0.325 0.073 0.794
```

Properties
- Raw total energy: -324.936 eV/cell
- Crystal system: triclinic